[1]
## KUI5 (PBE-GGA)

Data for KUI5 after structural relaxation.

Output
Crystal system = monoclinic
Calculated volume = 729.6 Å³ per cell

Unit cell a=8.4133 b=8.4133 c=12.1644 alpha=109.79 beta=109.79 gamma=68.20
Sites, in units of the cell vectors:
K 0.0383 0.9617 0.7500
K 0.9617 0.0383 0.2500
U 0.5000 0.5000 0.0000
U 0.5000 0.5000 0.5000
I 0.1249 0.7105 0.0017
I 0.1745 0.3917 0.3796
I 0.2895 0.8751 0.4983
I 0.3917 0.1745 0.8796
I 0.4275 0.5725 0.7500
I 0.5725 0.4275 0.2500
I 0.6083 0.8255 0.1204
I 0.7105 0.1249 0.5017
I 0.8255 0.6083 0.6204
I 0.8751 0.2895 0.9983


[2]
## Li2La3TaO9 (PBE-GGA)

Data for Li2La3TaO9 after structural relaxation.

Output
Crystal system = trigonal
Calculated volume = 183.9 Å³ per cell

Unit cell a=5.5303 b=5.5303 c=6.9418 alpha=90.00 beta=90.00 gamma=120.00
Sites, in units of the cell vectors:
Li 0.3333 0.6667 0.1876
Li 0.6667 0.3333 0.8124
La 0.0000 0.0000 0.0000
La 0.3333 0.6667 0.7206
La 0.6667 0.3333 0.2794
Ta 0.0000 0.0000 0.5000
O 0.0000 0.5000 0.0000
O 0.1631 0.3262 0.3269
O 0.1631 0.8369 0.3269
O 0.3262 0.1631 0.6731
O 0.5000 0.0000 0.0000
O 0.5000 0.5000 0.0000
O 0.6738 0.8369 0.3269
O 0.8369 0.1631 0.6731
O 0.8369 0.6738 0.6731


Number 1: formation energy without anion corrections -6.9 eV per formula unit. Number 2: formation energy without anion corrections -39.8 eV per formula unit.